The following is a PBE calculation of CdSnNF2 after structural relaxation, from Alexandria.

POSCAR file:
```
CdSnNF2
1.0
-4.296 0.323 0.422
-0.164 -4.075 1.450
0.526 1.480 4.221
Sn Cd F N
1 1 2 1
direct
0.500 0.500 0.500
0.000 0.000 0.000
0.000 0.500 0.000
0.500 0.000 0.000
0.000 0.000 0.500
```

Computed properties:
Space-group type: P4/mmm (123)
Volume in Å³/cell: 84
Energy relative to the elements, uncorrected in meV per atom: -487
Magnetic moment in μB/cell: 0.89
Offset from the most stable computed form in kJ/mol of atoms: 23.7